The following is a GGA-PBE calculation of a geometry-optimized CaNiW structure, from the Alexandria database.

Properties
offset from the most stable computed form: 0.003 eV/atom
energy of formation from the pure elements: 0.203 eV/atom
symmetry: No. 63

Cell: 5.863 5.863 5.105 Å, 90.00 90.00 137.60°
Sites, in units of the cell vectors:
Ca (0.212, 0.788, 0.750)
Ca (0.788, 0.212, 0.250)
Ni (0.055, 0.945, 0.250)
Ni (0.945, 0.055, 0.750)
W (0.500, 0.500, 0.000)
W (0.500, 0.500, 0.500)

=====

The following is a GGA-PBE calculation of a geometry-optimized CaNiW structure, from the Alexandria database.

Properties
offset from the most stable computed form: 0.000 eV/atom
energy of formation from the pure elements: 0.200 eV/atom
symmetry: No. 2

Cell: 3.172 3.225 11.614 Å, 88.43 89.93 89.97°
Sites, in units of the cell vectors:
Ca (0.248, 0.260, 0.354)
Ca (0.752, 0.740, 0.646)
Ni (0.251, 0.228, 0.822)
Ni (0.749, 0.772, 0.178)
W (0.250, 0.293, 0.069)
W (0.750, 0.707, 0.931)

=====

The following is a GGA-PBE calculation of a geometry-optimized CaNiW structure, from the Alexandria database.

Properties
offset from the most stable computed form: 0.523 eV/atom
energy of formation from the pure elements: 0.723 eV/atom
symmetry: No. 156

Cell: 3.006 3.006 6.902 Å, 90.00 90.00 120.00°
Sites, in units of the cell vectors:
Ca (0.000, 0.000, 0.000)
Ni (0.667, 0.333, 0.353)
W (0.333, 0.667, 0.617)

=====

The following is a GGA-PBE calculation of a geometry-optimized CaNiW structure, from the Alexandria database.

Properties
offset from the most stable computed form: 0.160 eV/atom
energy of formation from the pure elements: 0.360 eV/atom
symmetry: No. 6

Cell: 2.975 3.468 11.462 Å, 90.00 90.14 90.00°
Sites, in units of the cell vectors:
Ca (0.000, 0.000, 0.000)
Ca (0.491, 0.500, 0.300)
Ni (0.495, 0.500, 0.603)
Ni (0.498, 0.500, 0.830)
W (0.993, 0.000, 0.496)
W (0.997, 0.000, 0.720)

=====

The following is a GGA-PBE calculation of a geometry-optimized CaNiW structure, from the Alexandria database.

Properties
offset from the most stable computed form: 0.850 eV/atom
energy of formation from the pure elements: 1.050 eV/atom
symmetry: No. 216

Cell: 4.383 4.383 4.383 Å, 60.00 60.00 60.00°
Sites, in units of the cell vectors:
Ca (0.000, 0.000, 0.000)
Ni (0.250, 0.250, 0.250)
W (0.500, 0.500, 0.500)

=====

The following is a GGA-PBE calculation of a geometry-optimized CaNi3W structure, from the Alexandria database.

Properties
offset from the most stable computed form: 1.183 eV/atom
energy of formation from the pure elements: 1.880 eV/atom
symmetry: No. 221

Cell: 4.367 4.367 4.367 Å, 90.00 90.00 90.00°
Sites, in units of the cell vectors:
Ca (0.000, 0.000, 0.000)
Ni (0.000, 0.000, 0.500)
Ni (0.000, 0.500, 0.000)
Ni (0.500, 0.000, 0.000)
W (0.500, 0.500, 0.500)

=====

The following is a GGA-PBE calculation of a geometry-optimized CaNiW structure, from the Alexandria database.

Properties
offset from the most stable computed form: 0.058 eV/atom
energy of formation from the pure elements: 0.258 eV/atom
symmetry: No. 11

Cell: 5.301 4.193 5.446 Å, 90.00 103.28 90.00°
Sites, in units of the cell vectors:
Ca (0.248, 0.250, 0.444)
Ca (0.752, 0.750, 0.556)
Ni (0.087, 0.250, 0.923)
Ni (0.913, 0.750, 0.077)
W (0.354, 0.750, 0.965)
W (0.646, 0.250, 0.035)

=====

The following is a GGA-PBE calculation of a geometry-optimized Ca4NiW structure, from the Alexandria database.

Properties
energy of formation from the pure elements: 1.359 eV/atom
symmetry: No. 216

Cell: 6.201 6.201 6.201 Å, 60.00 60.00 60.00°
Sites, in units of the cell vectors:
Ca (0.125, 0.125, 0.125)
Ca (0.125, 0.125, 0.625)
Ca (0.125, 0.625, 0.125)
Ca (0.625, 0.125, 0.125)
Ni (0.750, 0.750, 0.750)
W (0.500, 0.500, 0.500)

=====

The following is a GGA-PBE calculation of a geometry-optimized CaNiW structure, from the Alexandria database.

Properties
offset from the most stable computed form: 0.466 eV/atom
energy of formation from the pure elements: 0.665 eV/atom
symmetry: No. 194

Cell: 3.994 3.994 9.497 Å, 90.00 90.00 120.00°
Sites, in units of the cell vectors:
Ca (0.000, 0.000, 0.000)
Ca (0.000, 0.000, 0.500)
Ni (0.333, 0.667, 0.250)
Ni (0.667, 0.333, 0.750)
W (0.333, 0.667, 0.750)
W (0.667, 0.333, 0.250)

=====

The following is a GGA-PBE calculation of a geometry-optimized CaNiW structure, from the Alexandria database.

Properties
offset from the most stable computed form: 0.098 eV/atom
energy of formation from the pure elements: 0.298 eV/atom
symmetry: No. 8

Cell: 5.812 5.812 5.186 Å, 94.30 94.30 42.71°
Sites, in units of the cell vectors:
Ca (0.000, 0.000, 0.000)
Ca (0.547, 0.547, 0.503)
Ni (0.272, 0.272, 0.265)
Ni (0.814, 0.814, 0.513)
W (0.277, 0.277, 0.753)
W (0.728, 0.728, 0.028)

=====

The following is a GGA-PBE calculation of a geometry-optimized CaNiW structure, from the Alexandria database.

Properties
offset from the most stable computed form: 0.112 eV/atom
energy of formation from the pure elements: 0.312 eV/atom
symmetry: No. 2

Cell: 2.854 5.043 8.162 Å, 72.03 87.00 80.04°
Sites, in units of the cell vectors:
Ca (0.001, 0.319, 0.361)
Ca (0.999, 0.681, 0.639)
Ni (0.499, 0.122, 0.756)
Ni (0.501, 0.878, 0.244)
W (0.231, 0.741, 0.000)
W (0.769, 0.259, 0.000)

=====

The following is a GGA-PBE calculation of a geometry-optimized CaNiW structure, from the Alexandria database.

Properties
offset from the most stable computed form: 0.123 eV/atom
energy of formation from the pure elements: 0.322 eV/atom
symmetry: No. 6

Cell: 4.989 4.081 6.156 Å, 90.00 90.06 90.00°
Sites, in units of the cell vectors:
Ca (0.000, 0.000, 0.000)
Ca (0.500, 0.500, 0.228)
Ni (0.255, 0.000, 0.520)
Ni (0.746, 0.000, 0.520)
W (0.001, 0.500, 0.608)
W (0.501, 0.500, 0.710)

=====

The following is a GGA-PBE calculation of a geometry-optimized CaNiW structure, from the Alexandria database.

Properties
offset from the most stable computed form: 0.040 eV/atom
energy of formation from the pure elements: 0.240 eV/atom
symmetry: No. 129

Cell: 3.950 3.950 7.806 Å, 90.00 90.00 90.00°
Sites, in units of the cell vectors:
Ca (0.250, 0.250, 0.157)
Ca (0.750, 0.750, 0.843)
Ni (0.250, 0.250, 0.705)
Ni (0.750, 0.750, 0.295)
W (0.250, 0.750, 0.500)
W (0.750, 0.250, 0.500)

=====

The following is a GGA-PBE calculation of a geometry-optimized CaNiW structure, from the Alexandria database.

Properties
offset from the most stable computed form: 0.149 eV/atom
energy of formation from the pure elements: 0.348 eV/atom
symmetry: No. 38

Cell: 4.267 6.080 6.080 Å, 130.38 90.00 90.00°
Sites, in units of the cell vectors:
Ca (0.000, 0.000, 0.000)
Ca (0.500, 0.490, 0.490)
Ni (0.500, 0.140, 0.732)
Ni (0.500, 0.732, 0.140)
W (0.000, 0.433, 0.907)
W (0.000, 0.907, 0.433)